The following is a DFT calculation (PBE) of crystalline HfAlTlCr2 at its relaxed geometry.

Values from the calculation:
- Calculated total energy: -30.5 eV per cell
- DOS(E_F): 4.41 states/eV/f.u.
- SG: No. 123
- Calculated volume: 107.56 Å³/f.u.

a = 4.6109 Å, b = 5.0590 Å, c = 4.6109 Å
α = 90.00°, β = 90.00°, γ = 90.00°
With the nearest neighbours (Å) after each atom.
Fractional positions:
Tl 0.5000 0.5000 0.5000  4 Hf 3.26, 8 Cr 3.42
Al 0.0000 0.0000 0.0000  4 Cr 2.31, 2 Hf 2.53
Cr 0.5000 0.0000 0.0000  2 Al 2.31
Cr 0.0000 0.0000 0.5000  2 Al 2.31
Hf 0.0000 0.5000 0.0000  2 Al 2.53

The following is a DFT calculation (PBE) of crystalline V5GaSi2 at its relaxed geometry.

Values from the calculation:
- Calculated total energy: -125.8 eV per cell
- DOS(E_F): 4.24 states/eV/f.u.
- ΔE_f (raw): -430.7 meV per atom
- SG: No. 140
- Calculated volume: 108.19 Å³/f.u.

a = 6.2580 Å, b = 6.2580 Å, c = 7.0789 Å
α = 116.23°, β = 116.23°, γ = 90.00°
With the nearest neighbours (Å) after each atom.
Fractional positions:
V 0.9866 0.4866 0.3008  3 Si 2.45-2.50, 2 Ga 2.59, 1 V 2.68
V 0.3142 0.8142 0.3008  3 Si 2.45-2.50, 2 Ga 2.59, 1 V 2.68
V 0.0000 0.0000 0.0000  4 Si 2.44
V 0.6858 0.1858 0.6992  3 Si 2.45-2.50, 2 Ga 2.59, 1 V 2.68
V 0.5134 0.6858 0.6992  3 Si 2.45-2.50, 2 Ga 2.59, 1 V 2.68
V 0.4866 0.3142 0.3008  3 Si 2.45-2.50, 2 Ga 2.59, 1 V 2.68
V 0.0134 0.5134 0.6992  3 Si 2.45-2.50, 2 Ga 2.59, 1 V 2.68
V 0.5000 0.5000 0.0000  4 Si 2.44
V 0.1858 0.0134 0.6992  3 Si 2.45-2.50, 2 Ga 2.59, 1 V 2.68
V 0.8142 0.9866 0.3008  3 Si 2.45-2.50, 2 Ga 2.59, 1 V 2.68
Si 0.6333 0.1333 0.0000  1 Si 2.36, 8 V 2.44-2.50
Si 0.1333 0.3667 0.0000  1 Si 2.36, 8 V 2.44-2.50
Si 0.3667 0.8667 0.0000  1 Si 2.36, 8 V 2.44-2.50
Si 0.8667 0.6333 0.0000  1 Si 2.36, 8 V 2.44-2.50
Ga 0.7500 0.7500 0.5000  10 V 2.59-2.76
Ga 0.2500 0.2500 0.5000  10 V 2.59-2.76

The following is a DFT calculation (PBE) of crystalline NaZrF4 at its relaxed geometry.

Values from the calculation:
- Calculated total energy: -36.4 eV per cell
- DOS(E_F): 1.20 states/eV/f.u.
- ΔE_f (raw): -3168.5 meV per atom
- SG: No. 65
- Calculated volume: 89.70 Å³/f.u.

a = 3.0079 Å, b = 5.4654 Å, c = 5.4653 Å
α = 86.68°, β = 90.00°, γ = 90.00°
With the nearest neighbours (Å) after each atom.
Fractional positions:
F 0.0000 0.7952 0.7952  2 Zr 2.22, 1 Na 2.35
F 0.5000 0.7255 0.2744  1 Zr 2.06, 2 Na 2.26
F 0.0000 0.2048 0.2048  2 Zr 2.22, 1 Na 2.35
F 0.5000 0.2745 0.7256  1 Zr 2.06, 2 Na 2.26
Na 0.0000 0.5000 0.5000  6 F 2.26-2.35
Zr 0.5000 0.0000 0.0000  6 F 2.06-2.22

The following is a DFT calculation (PBE) of crystalline NpCrPt6 at its relaxed geometry.

Values from the calculation:
- Calculated total energy: -62.1 eV per cell
- DOS(E_F): 17.16 states/eV/f.u.
- SG: No. 123
- Calculated volume: 132.15 Å³/f.u.

a = 4.0314 Å, b = 5.7253 Å, c = 5.7253 Å
α = 90.00°, β = 90.00°, γ = 90.00°
With the nearest neighbours (Å) after each atom.
Fractional positions:
Pt 0.5000 0.5000 0.0000  8 Pt 2.86, 2 Cr 2.86, 2 Np 2.86
Pt 0.0000 0.7444 0.2556  8 Pt 2.80-2.93, 2 Cr 2.82, 2 Np 2.89
Pt 0.0000 0.2556 0.2556  8 Pt 2.80-2.93, 2 Cr 2.82, 2 Np 2.89
Pt 0.0000 0.2556 0.7444  8 Pt 2.80-2.93, 2 Cr 2.82, 2 Np 2.89
Pt 0.0000 0.7444 0.7444  8 Pt 2.80-2.93, 2 Cr 2.82, 2 Np 2.89
Pt 0.5000 0.0000 0.5000  8 Pt 2.86, 2 Np 2.86, 2 Cr 2.86
Cr 0.5000 0.5000 0.5000  12 Pt 2.82-2.86
Np 0.5000 0.0000 0.0000  12 Pt 2.86-2.89

The following is a DFT calculation (PBE) of crystalline TmScAlRu at its relaxed geometry.

Values from the calculation:
- Calculated total energy: -25.6 eV per cell
- DOS(E_F): 3.38 states/eV/f.u.
- SG: No. 216
- Calculated volume: 77.05 Å³/f.u.

a = 4.7764 Å, b = 4.7764 Å, c = 4.7764 Å
α = 60.00°, β = 60.00°, γ = 60.00°
With the nearest neighbours (Å) after each atom.
Fractional positions:
Al 0.2500 0.2500 0.2500  4 Tm 2.92, 4 Sc 2.92
Tm 0.0000 0.0000 0.0000  4 Ru 2.92, 4 Al 2.92
Sc 0.5000 0.5000 0.5000  4 Al 2.92, 4 Ru 2.92
Ru 0.7500 0.7500 0.7500  4 Tm 2.92, 4 Sc 2.92

The following is a DFT calculation (PBE) of crystalline TiBiSe2 at its relaxed geometry.

Values from the calculation:
- Calculated total energy: -84.2 eV per cell
- DOS(E_F): 0.88 states/eV/f.u.
- ΔE_f (raw): -577.7 meV per atom
- SG: No. 33
- Calculated volume: 114.27 Å³/f.u.

a = 6.5025 Å, b = 10.3194 Å, c = 6.8120 Å
α = 90.00°, β = 90.00°, γ = 90.00°
With the nearest neighbours (Å) after each atom.
Fractional positions:
Ti 0.5976 0.1388 0.0670  4 Se 2.45-2.55
Ti 0.0976 0.3612 0.0670  4 Se 2.45-2.55
Ti 0.4024 0.8612 0.5670  4 Se 2.45-2.55
Ti 0.9024 0.6388 0.5670  4 Se 2.45-2.55
Se 0.5282 0.6291 0.5225  2 Ti 2.45-2.55
Se 0.9718 0.1291 0.0225  2 Ti 2.45-2.55
Se 0.4757 0.0654 0.7355  2 Ti 2.45-2.51
Se 0.0282 0.8709 0.5225  2 Ti 2.45-2.55
Se 0.9757 0.4346 0.7355  2 Ti 2.45-2.51
Se 0.0243 0.5654 0.2355  2 Ti 2.45-2.51
Se 0.4718 0.3709 0.0225  2 Ti 2.45-2.55
Se 0.5243 0.9346 0.2355  2 Ti 2.45-2.51
Bi 0.9538 0.2302 0.4249  2 Se 2.94-2.99, 1 Ti 2.94, 2 Bi 3.28
Bi 0.4538 0.2698 0.4249  2 Se 2.94-2.99, 1 Ti 2.94, 2 Bi 3.28
Bi 0.5462 0.7302 0.9249  2 Se 2.94-2.99, 1 Ti 2.94, 2 Bi 3.28
Bi 0.0462 0.7698 0.9249  2 Se 2.94-2.99, 1 Ti 2.94, 2 Bi 3.28

The following is a DFT calculation (PBE) of crystalline KBa2SmSe4 at its relaxed geometry.

Values from the calculation:
- Calculated total energy: -38.2 eV per cell
- ΔE_f (raw): -1819.4 meV per atom
- SG: No. 10
- Calculated volume: 267.65 Å³/f.u.

a = 4.5447 Å, b = 7.8018 Å, c = 7.9695 Å
α = 71.30°, β = 90.00°, γ = 90.00°
With the nearest neighbours (Å) after each atom.
Fractional positions:
Se 0.5000 0.2754 0.7259  2 Sm 3.07, 1 K 3.21, 3 Ba 3.22-3.40
Se 0.5000 0.7246 0.2741  2 Sm 3.07, 1 K 3.21, 3 Ba 3.22-3.40
Se 0.0000 0.2661 0.2710  1 Sm 2.97, 2 Ba 3.22, 2 K 3.26
Se 0.0000 0.7339 0.7290  1 Sm 2.97, 2 Ba 3.22, 2 K 3.26
Ba 0.5000 0.0000 0.5000  6 Se 3.22
Ba 0.0000 0.0000 0.0000  6 Se 3.40-3.44
K 0.5000 0.5000 0.0000  6 Se 3.21-3.26
Sm 0.0000 0.5000 0.5000  6 Se 2.97-3.07

The following is a DFT calculation (PBE) of crystalline Ti2NbSnPd at its relaxed geometry.

Values from the calculation:
- Calculated total energy: -28.4 eV per cell
- DOS(E_F): 7.80 states/eV/f.u.
- SG: No. 123
- Calculated volume: 122.99 Å³/f.u.

a = 4.9276 Å, b = 5.0653 Å, c = 4.9276 Å
α = 90.00°, β = 90.00°, γ = 90.00°
With the nearest neighbours (Å) after each atom.
Fractional positions:
Pd 0.5000 0.5000 0.5000  4 Nb 3.48, 8 Ti 3.53
Ti 0.5000 0.0000 0.0000  2 Sn 2.46
Ti 0.0000 0.0000 0.5000  2 Sn 2.46
Nb 0.0000 0.5000 0.0000  2 Sn 2.53
Sn 0.0000 0.0000 0.0000  4 Ti 2.46, 2 Nb 2.53

no.,M_tot (μB per cell)
1,5.5
2,0.0
3,0.3
4,5.8
5,0.0
6,0.0
7,0.0
8,0.8